No. 1
The following is a PBE calculation of TiW2 after structural relaxation, from the Alexandria database.

Computed properties:
E_tot   -33.97 eV per cell
SG   I4/mmm
Density   14.3 g/cm3
Fermi-level density of states   0.94 states/eV/atom
ΔE_f   -0.171 eV per formula unit

a b c (Å): 5.288 5.288 5.288
angles (deg): 145.05 145.05 50.26
Element x y z (fractional)
Ti: 0.000 0.000 0.000
W: 0.328 0.328 0.000
W: 0.672 0.672 0.000

***

No. 2
The following is a PBE calculation of BaTlPbAu after structural relaxation, from the Alexandria database.

Computed properties:
E_tot   -12.71 eV per cell
SG   F-43m
Density   10.2 g/cm3
Fermi-level density of states   0.46 states/eV/atom
ΔE_f   -1.435 eV per formula unit

a b c (Å): 5.566 5.566 5.566
angles (deg): 60.00 60.00 60.00
Element x y z (fractional)
Ba: 0.000 0.000 0.000
Tl: 0.750 0.750 0.750
Pb: 0.500 0.500 0.500
Au: 0.250 0.250 0.250

***

No. 3
The following is a PBE calculation of ScZn2Os after structural relaxation, from the Alexandria database.

Computed properties:
E_tot   -20.46 eV per cell
SG   Pmmm
Polymorph energy (0 for the lowest one)   0.184 eV per atom
Density   9.7 g/cm3
Fermi-level density of states   0.63 states/eV/atom
ΔE_f   -0.347 eV per formula unit

a b c (Å): 2.768 4.105 5.495
angles (deg): 90.00 90.00 90.00
Element x y z (fractional)
Sc: 0.000 0.000 0.000
Zn: 0.500 0.500 0.272
Zn: 0.500 0.500 0.728
Os: 0.000 0.000 0.500

***

No. 4
The following is a PBE calculation of BaTaTl2 after structural relaxation, from the Alexandria database.

Computed properties:
E_tot   -16.07 eV per cell
SG   Immm
Density   10.5 g/cm3
Fermi-level density of states   0.86 states/eV/atom
ΔE_f   2.435 eV per formula unit

a b c (Å): 5.715 5.715 5.715
angles (deg): 128.27 126.14 77.93
Element x y z (fractional)
Ba: 0.000 0.000 0.000
Ta: 0.500 0.500 0.000
Tl: 0.255 0.755 0.500
Tl: 0.745 0.245 0.500

***

No. 5
The following is a PBE calculation of YBeReAu2 after structural relaxation, from the Alexandria database.

Computed properties:
E_tot   -23.19 eV per cell
SG   P4/mmm
Density   8.5 g/cm3
Fermi-level density of states   0.87 states/eV/atom
ΔE_f   6.004 eV per formula unit

a b c (Å): 5.077 5.077 5.156
angles (deg): 90.00 90.00 90.00
Element x y z (fractional)
Y: 0.000 0.000 0.000
Be: 0.500 0.500 0.000
Re: 0.000 0.000 0.500
Au: 0.000 0.500 0.500
Au: 0.500 0.000 0.500

***

No. 6
The following is a PBE calculation of YTmHgPt after structural relaxation, from the Alexandria database.

Computed properties:
E_tot   -20.80 eV per cell
SG   P4mm
Polymorph energy (0 for the lowest one)   0.000 eV per atom
Density   11.7 g/cm3
Fermi-level density of states   0.72 states/eV/atom
ΔE_f   -3.523 eV per formula unit

a b c (Å): 3.545 3.545 7.372
angles (deg): 90.00 90.00 90.00
Element x y z (fractional)
Y: 0.000 0.000 0.000
Tm: 0.000 0.000 0.549
Hg: 0.500 0.500 0.280
Pt: 0.500 0.500 0.763

***

No. 7
The following is a PBE calculation of AlP2W after structural relaxation, from the Alexandria database.

Computed properties:
E_tot   -26.88 eV per cell
SG   C2/m
Density   8.0 g/cm3
Fermi-level density of states   0.58 states/eV/atom
ΔE_f   0.635 eV per formula unit

a b c (Å): 4.281 4.281 3.114
angles (deg): 90.30 90.30 98.71
Element x y z (fractional)
Al: 0.000 0.000 0.000
P: 0.000 0.500 0.500
P: 0.500 0.000 0.500
W: 0.500 0.500 0.000

***

No. 8
The following is a PBE calculation of Re3Os5 after structural relaxation, from the Alexandria database.

Computed properties:
E_tot   -88.84 eV per cell
SG   P4/mmm
Polymorph energy (0 for the lowest one)   0.513 eV per atom
Density   20.9 g/cm3
Fermi-level density of states   1.27 states/eV/atom
ΔE_f   4.649 eV per formula unit

a b c (Å): 3.271 3.271 11.227
angles (deg): 90.00 90.00 90.00
Element x y z (fractional)
Re: 0.000 0.000 0.000
Re: 0.500 0.500 0.134
Re: 0.500 0.500 0.866
Os: 0.000 0.000 0.254
Os: 0.000 0.000 0.500
Os: 0.000 0.000 0.746
Os: 0.500 0.500 0.373
Os: 0.500 0.500 0.627

***

No. 9
The following is a PBE calculation of ZrSnBi2 after structural relaxation, from the Alexandria database.

Computed properties:
E_tot   -20.61 eV per cell
SG   P4/mmm
Density   9.5 g/cm3
Fermi-level density of states   0.91 states/eV/atom
ΔE_f   -0.302 eV per formula unit

a b c (Å): 3.943 3.943 7.042
angles (deg): 90.00 90.00 90.00
Element x y z (fractional)
Zr: 0.000 0.000 0.000
Sn: 0.000 0.000 0.500
Bi: 0.500 0.500 0.226
Bi: 0.500 0.500 0.774

***

No. 10
The following is a PBE calculation of ScTc2P after structural relaxation, from the Alexandria database.

Computed properties:
E_tot   -32.79 eV per cell
SG   F-43m
Density   7.5 g/cm3
Fermi-level density of states   1.26 states/eV/atom
ΔE_f   -0.318 eV per formula unit

a b c (Å): 4.407 4.407 4.407
angles (deg): 60.00 60.00 60.00
Element x y z (fractional)
Sc: 0.000 0.000 0.000
Tc: 0.250 0.250 0.250
Tc: 0.500 0.500 0.500
P: 0.750 0.750 0.750